# AcPm6Y GGA-PBE relaxed
data_AcPm6Y
_chemical_formula_sum 'Ac1 Pm6 Y1'
_cell_length_a 5.2107
_cell_length_b 5.2107
_cell_length_c 10.4072
_cell_angle_alpha 90.00
_cell_angle_beta 90.00
_cell_angle_gamma 90.00
_symmetry_space_group_name_H-M 'P 4/m m m'
_symmetry_Int_Tables_number 123
_symmetry_space_group_name_Hall '-P 4 2'
loop_
_atom_site_label
_atom_site_fract_x
_atom_site_fract_y
_atom_site_fract_z
_atom_site_occupancy
Ac1 0.0000 0.0000 0.0000 1
Pm1 0.0000 0.5000 0.2571 1
Pm2 0.5000 0.5000 0.0000 1
Pm3 0.5000 0.5000 0.5000 1
Y1 0.0000 0.0000 0.5000 1
# E_form   29 meV/atom
# Electronic total energy   -4.86 eV per atom
# Energy relative to the lowest polymorph listed for this composition   0.000 eV/f.u.

---

# Ac2Pm6Y GGA-PBE relaxed
data_Ac2Pm6Y
_chemical_formula_sum 'Ac8 Pm24 Y4'
_cell_length_a 15.6577
_cell_length_b 10.1818
_cell_length_c 9.3068
_cell_angle_alpha 90.00
_cell_angle_beta 118.06
_cell_angle_gamma 90.00
_symmetry_space_group_name_H-M 'C 1 2/c 1'
_symmetry_Int_Tables_number 15
loop_
_symmetry_equiv_pos_as_xyz
'x,y,z'
'-x,-y,-z'
'-x,y,-z+1/2'
'x,-y,z+1/2'
'x+1/2,y+1/2,z'
'-x+1/2,-y+1/2,-z'
'-x+1/2,y+1/2,-z+1/2'
'x+1/2,-y+1/2,z+1/2'
loop_
_atom_site_label
_atom_site_fract_x
_atom_site_fract_y
_atom_site_fract_z
_atom_site_occupancy
Ac1 0.0945 0.0756 0.1815 1
Pm1 0.0825 0.4179 0.1628 1
Pm2 0.1644 0.2577 0.5786 1
Pm3 0.2380 0.4088 0.9815 1
Y1 0.0000 0.2595 0.7500 1
# E_form   88 meV/atom
# Electronic total energy   -4.71 eV per atom
# Energy relative to the lowest polymorph listed for this composition   0.000 eV/f.u.

---

# Ac2Pm8Y3 GGA-PBE relaxed
data_Ac2Pm8Y3
_chemical_formula_sum 'Ac2 Pm8 Y3'
_cell_length_a 6.3856
_cell_length_b 7.8605
_cell_length_c 9.7453
_cell_angle_alpha 89.61
_cell_angle_beta 86.30
_cell_angle_gamma 73.75
_symmetry_space_group_name_H-M 'P -1'
_symmetry_Int_Tables_number 2
loop_
_symmetry_equiv_pos_as_xyz
'x,y,z'
'-x,-y,-z'
loop_
_atom_site_label
_atom_site_fract_x
_atom_site_fract_y
_atom_site_fract_z
_atom_site_occupancy
Ac1 0.2212 0.0911 0.4274 1
Pm1 0.1127 0.3237 0.1022 1
Pm2 0.1904 0.8812 0.1082 1
Pm3 0.2455 0.5757 0.4044 1
Pm4 0.3150 0.8219 0.7416 1
Y1 0.2852 0.2973 0.7421 1
Y2 0.5000 0.5000 0.0000 1
# E_form   137 meV/atom
# Electronic total energy   -4.91 eV per atom

---

# AcPm4Y2 GGA-PBE relaxed
data_AcPm4Y2
_chemical_formula_sum 'Ac2 Pm8 Y4'
_cell_length_a 12.2110
_cell_length_b 6.5428
_cell_length_c 6.4051
_cell_angle_alpha 90.00
_cell_angle_beta 98.83
_cell_angle_gamma 90.00
_symmetry_space_group_name_H-M 'C 1 2/m 1'
_symmetry_Int_Tables_number 12
loop_
_symmetry_equiv_pos_as_xyz
'x,y,z'
'-x,-y,-z'
'-x,y,-z'
'x,-y,z'
'x+1/2,y+1/2,z'
'-x+1/2,-y+1/2,-z'
'-x+1/2,y+1/2,-z'
'x+1/2,-y+1/2,z'
loop_
_atom_site_label
_atom_site_fract_x
_atom_site_fract_y
_atom_site_fract_z
_atom_site_occupancy
Ac1 0.0000 0.0000 0.0000 1
Pm1 0.1619 0.0000 0.5086 1
Pm2 0.2500 0.2500 0.0000 1
Y1 0.0408 0.5000 0.2665 1
# E_form   228 meV/atom
# Electronic total energy   -4.92 eV per atom
# Energy relative to the lowest polymorph listed for this composition   0.000 eV/f.u.

---

# Ac6Pm5Y2 GGA-PBE relaxed
data_Ac6Pm5Y2
_chemical_formula_sum 'Ac12 Pm10 Y4'
_cell_length_a 11.4210
_cell_length_b 23.9874
_cell_length_c 3.7652
_cell_angle_alpha 90.00
_cell_angle_beta 90.00
_cell_angle_gamma 90.00
_symmetry_space_group_name_H-M 'P b a m'
_symmetry_Int_Tables_number 55
loop_
_symmetry_equiv_pos_as_xyz
'x,y,z'
'-x,-y,-z'
'-x,-y,z'
'x,y,-z'
'x+1/2,-y+1/2,-z'
'-x+1/2,y+1/2,z'
'-x+1/2,y+1/2,-z'
'x+1/2,-y+1/2,z'
loop_
_atom_site_label
_atom_site_fract_x
_atom_site_fract_y
_atom_site_fract_z
_atom_site_occupancy
Ac1 0.0204 0.1127 0.0000 1
Ac2 0.1455 0.3854 0.0000 1
Ac3 0.1661 0.6332 0.5000 1
Pm1 0.0000 0.5000 0.5000 1
Pm2 0.0850 0.2497 0.5000 1
Pm3 0.1640 0.9961 0.5000 1
Y1 0.1651 0.7667 0.0000 1
# E_form   155 meV/atom
# Electronic total energy   -4.56 eV per atom

---

# Ac7PmY4 GGA-PBE relaxed
data_Ac7PmY4
_chemical_formula_sum 'Ac7 Pm1 Y4'
_cell_length_a 6.6982
_cell_length_b 7.6809
_cell_length_c 9.5243
_cell_angle_alpha 89.68
_cell_angle_beta 76.72
_cell_angle_gamma 89.83
_symmetry_space_group_name_H-M 'P -1'
_symmetry_Int_Tables_number 2
loop_
_symmetry_equiv_pos_as_xyz
'x,y,z'
'-x,-y,-z'
loop_
_atom_site_label
_atom_site_fract_x
_atom_site_fract_y
_atom_site_fract_z
_atom_site_occupancy
Ac1 0.0000 0.0000 0.0000 1
Ac2 0.2209 0.5003 0.3320 1
Ac3 0.2822 0.7520 0.6620 1
Ac4 0.4974 0.2465 0.9940 1
Pm1 0.0000 0.5000 0.0000 1
Y1 0.2169 0.0001 0.3387 1
Y2 0.2738 0.2437 0.6659 1
# E_form   42 meV/atom
# Electronic total energy   -4.91 eV per atom